Entry from Alexandria: crystalline CsLi2TaP at its relaxed geometry (PBE).

extended XYZ file:
```
5
Lattice="4.6333 0.0000 0.0000 0.0000 5.3988 0.0000 0.0000 0.0000 4.6333" Properties=species:S:1:pos:R:3 pbc="T T T"
Cs 0.0000 0.0000 0.0000
P 2.3166 2.6994 2.3166
Li 0.0000 0.0000 2.3166
Li 2.3166 0.0000 0.0000
Ta 0.0000 2.6994 0.0000
```

As for the total moment: 0.00 μB per atom. As for the energy of formation: 1.905 eV per atom.

Entry from Alexandria: crystalline Cs3Th3TiTe8 at its relaxed geometry (PBE).

extended XYZ file:
```
15
Lattice="8.8776 -0.0005 0.0001 -4.4392 7.6875 -0.0401 0.0005 -5.0790 9.3321" Properties=species:S:1:pos:R:3 pbc="T T T"
Cs 0.0000 0.0000 0.0000
Cs -2.2196 3.8438 -0.0201
Cs 2.2192 3.8435 -0.0200
Th 4.4390 -2.5398 4.6661
Th 2.2194 1.3040 4.6461
Th -2.2194 1.3043 4.6460
Ti 0.0002 -2.5395 4.6661
Te 0.0000 2.5758 2.7511
Te 4.4388 0.0322 6.5410
Te 4.4387 2.7075 2.9079
Te 0.0001 -0.0995 6.3842
Te 6.7725 -1.3332 2.9291
Te -2.3336 3.9412 6.3630
Te 2.1054 -1.3329 2.9291
Te 2.3334 3.9409 6.3630
```

The value obtained for the total energy is -4.96 eV/atom. As for the total moment: 0.13 μB per atom.

Entry from Alexandria: crystalline MgAl2Pd at its relaxed geometry (PBE).

extended XYZ file:
```
32
Lattice="5.0459 0.0000 0.0000 0.0000 7.5256 0.0000 0.0000 0.0000 14.6845" Properties=species:S:1:pos:R:3 pbc="T T T"
Mg 2.2576 1.8814 2.0393
Mg 4.7806 5.6442 5.3029
Mg 2.7883 5.6442 12.6452
Mg 0.2653 1.8814 9.3816
Mg 3.7466 1.8814 5.7275
Mg 1.2236 5.6442 1.6147
Mg 1.2994 5.6442 8.9570
Mg 3.8223 1.8814 13.0698
Al 4.7298 0.4177 3.1136
Al 2.2068 7.1080 4.2286
Al 0.3161 4.1805 11.5708
Al 2.8391 3.3451 10.4559
Al 0.3161 7.1080 11.5708
Al 2.8391 0.4177 10.4559
Al 4.7298 3.3451 3.1136
Al 2.2068 4.1805 4.2286
Al 3.7506 4.1963 0.5269
Al 1.2277 3.3293 6.8154
Al 1.2953 0.4335 14.1576
Al 3.8183 7.0921 7.8691
Al 1.2953 3.3293 14.1576
Al 3.8183 4.1963 7.8691
Al 3.7506 7.0921 0.5269
Al 1.2277 0.4335 6.8154
Pd 1.1636 1.8814 4.6190
Pd 3.6866 5.6442 2.7232
Pd 3.8823 5.6442 10.0655
Pd 1.3594 1.8814 11.9612
Pd 4.8050 1.8814 1.0084
Pd 2.2820 5.6442 6.3338
Pd 0.2409 5.6442 13.6761
Pd 2.7639 1.8814 8.3507
```

As for the total moment: 0.00 μB per atom. As for the energy of formation: -0.538 eV per atom.

Entry from Alexandria: crystalline Ac4PRhSe2 at its relaxed geometry (PBE).

extended XYZ file:
```
8
Lattice="4.3695 0.0000 0.0000 0.0000 7.7195 0.2232 0.0000 -2.6147 7.3749" Properties=species:S:1:pos:R:3 pbc="T T T"
Ac 2.1848 1.3329 1.7396
Ac 2.1848 3.7719 5.8586
Ac 0.0000 -0.0046 5.7455
Ac 0.0000 5.1094 1.8526
P 0.0000 0.0000 0.0000
Rh 2.1848 3.8598 0.1116
Se 2.1848 -1.3074 3.6875
Se 0.0000 2.5524 3.7991
```

The value obtained for the total energy is -5.99 eV/atom. As for the total moment: 0.00 μB per atom.